TcOF2 after structural relaxation, computed with PBE.

a b c (Å): 4.979 4.979 4.979
angles (deg): 147.88 136.61 55.00
Fractional coordinates of all 4 atoms:
Tc (0.000, 0.000, 0.000)
O (0.500, 0.000, 0.500)
F (0.171, 0.671, 0.500)
F (0.829, 0.329, 0.500)

## Properties
E above lowest polymorph: 11.6 meV/atom
ρ: 5.64 g/cm³


TcOF2 after structural relaxation, computed with PBE.

a b c (Å): 4.981 7.208 5.087
angles (deg): 90.00 90.00 90.00
Fractional coordinates of all 16 atoms:
Tc (0.012, 0.170, 0.000)
Tc (0.488, 0.170, 0.500)
Tc (0.512, 0.830, 0.000)
Tc (0.988, 0.830, 0.500)
O (0.152, 0.073, 0.341)
O (0.348, 0.073, 0.841)
O (0.652, 0.927, 0.341)
O (0.848, 0.927, 0.841)
F (0.162, 0.401, 0.077)
F (0.168, 0.733, 0.171)
F (0.332, 0.733, 0.671)
F (0.338, 0.401, 0.577)
F (0.662, 0.599, 0.077)
F (0.668, 0.267, 0.171)
F (0.832, 0.267, 0.671)
F (0.838, 0.599, 0.577)

## Properties
E above lowest polymorph: 73.2 meV/atom
ρ: 5.53 g/cm³


TcOF4 after structural relaxation, computed with PBE.

a b c (Å): 8.570 8.570 7.465
angles (deg): 90.00 90.00 120.00
Fractional coordinates of all 36 atoms:
Tc (0.056, 0.387, 0.250)
Tc (0.331, 0.944, 0.250)
Tc (0.387, 0.331, 0.750)
Tc (0.613, 0.669, 0.250)
Tc (0.669, 0.056, 0.750)
Tc (0.944, 0.613, 0.750)
O (0.162, 0.689, 0.750)
O (0.311, 0.473, 0.750)
O (0.473, 0.162, 0.250)
O (0.527, 0.838, 0.750)
O (0.689, 0.527, 0.250)
O (0.838, 0.311, 0.250)
F (0.086, 0.188, 0.250)
F (0.102, 0.914, 0.250)
F (0.107, 0.409, 0.004)
F (0.107, 0.409, 0.496)
F (0.145, 0.642, 0.250)
F (0.188, 0.102, 0.750)
F (0.302, 0.893, 0.004)
F (0.302, 0.893, 0.496)
F (0.358, 0.503, 0.250)
F (0.409, 0.302, 0.504)
F (0.409, 0.302, 0.996)
F (0.497, 0.855, 0.250)
F (0.503, 0.145, 0.750)
F (0.591, 0.698, 0.004)
F (0.591, 0.698, 0.496)
F (0.642, 0.497, 0.750)
F (0.698, 0.107, 0.504)
F (0.698, 0.107, 0.996)
F (0.812, 0.898, 0.250)
F (0.855, 0.358, 0.750)
F (0.893, 0.591, 0.504)
F (0.893, 0.591, 0.996)
F (0.898, 0.086, 0.750)
F (0.914, 0.812, 0.750)

## Properties
ρ: 3.99 g/cm³


TcOF2 after structural relaxation, computed with PBE.

a b c (Å): 11.944 14.890 3.090
angles (deg): 90.00 90.00 90.00
Fractional coordinates of all 48 atoms:
Tc (0.046, 0.182, 0.000)
Tc (0.199, 0.422, 0.000)
Tc (0.202, 0.605, 0.500)
Tc (0.298, 0.105, 0.500)
Tc (0.301, 0.922, 0.000)
Tc (0.454, 0.682, 0.000)
Tc (0.546, 0.318, 0.000)
Tc (0.699, 0.078, 0.000)
Tc (0.702, 0.895, 0.500)
Tc (0.798, 0.395, 0.500)
Tc (0.801, 0.578, 0.000)
Tc (0.954, 0.818, 0.000)
O (0.123, 0.478, 0.500)
O (0.140, 0.149, 0.500)
O (0.232, 0.042, 0.000)
O (0.268, 0.542, 0.000)
O (0.360, 0.649, 0.500)
O (0.377, 0.978, 0.500)
O (0.623, 0.022, 0.500)
O (0.640, 0.351, 0.500)
O (0.732, 0.458, 0.000)
O (0.768, 0.958, 0.000)
O (0.860, 0.851, 0.500)
O (0.877, 0.522, 0.500)
F (0.040, 0.923, 0.000)
F (0.048, 0.766, 0.500)
F (0.073, 0.603, 0.000)
F (0.110, 0.309, 0.000)
F (0.213, 0.707, 0.000)
F (0.213, 0.866, 0.500)
F (0.287, 0.207, 0.000)
F (0.287, 0.366, 0.500)
F (0.390, 0.809, 0.000)
F (0.427, 0.103, 0.000)
F (0.452, 0.266, 0.500)
F (0.460, 0.423, 0.000)
F (0.540, 0.577, 0.000)
F (0.548, 0.734, 0.500)
F (0.573, 0.897, 0.000)
F (0.610, 0.191, 0.000)
F (0.713, 0.634, 0.500)
F (0.713, 0.793, 0.000)
F (0.787, 0.134, 0.500)
F (0.787, 0.293, 0.000)
F (0.890, 0.691, 0.000)
F (0.927, 0.397, 0.000)
F (0.952, 0.234, 0.500)
F (0.960, 0.077, 0.000)

## Properties
E above lowest polymorph: 177.2 meV/atom
ρ: 5.51 g/cm³


TcO2F3 after structural relaxation, computed with PBE.

a b c (Å): 7.281 7.401 10.920
angles (deg): 89.13 89.01 84.53
Fractional coordinates of all 48 atoms:
Tc (0.230, 0.052, 0.393)
Tc (0.243, 0.077, 0.872)
Tc (0.246, 0.463, 0.619)
Tc (0.262, 0.466, 0.097)
Tc (0.738, 0.534, 0.903)
Tc (0.754, 0.537, 0.381)
Tc (0.757, 0.923, 0.128)
Tc (0.770, 0.948, 0.607)
O (0.052, 0.404, 0.134)
O (0.188, 0.027, 0.019)
O (0.208, 0.644, 0.525)
O (0.253, 0.850, 0.323)
O (0.270, 0.874, 0.804)
O (0.328, 0.553, 0.746)
O (0.333, 0.549, 0.229)
O (0.407, 0.158, 0.334)
O (0.593, 0.842, 0.666)
O (0.667, 0.451, 0.771)
O (0.672, 0.447, 0.254)
O (0.730, 0.126, 0.196)
O (0.747, 0.150, 0.677)
O (0.792, 0.356, 0.475)
O (0.812, 0.973, 0.981)
O (0.948, 0.596, 0.866)
F (0.000, 0.000, 0.500)
F (0.003, 0.146, 0.823)
F (0.005, 0.443, 0.669)
F (0.042, 0.161, 0.294)
F (0.155, 0.295, 0.488)
F (0.196, 0.680, 0.013)
F (0.217, 0.354, 0.923)
F (0.286, 0.208, 0.709)
F (0.334, 0.976, 0.540)
F (0.395, 0.238, 0.116)
F (0.469, 0.358, 0.555)
F (0.491, 0.114, 0.887)
F (0.500, 0.500, 0.000)
F (0.509, 0.886, 0.113)
F (0.531, 0.642, 0.445)
F (0.605, 0.762, 0.884)
F (0.666, 0.024, 0.460)
F (0.714, 0.792, 0.291)
F (0.783, 0.646, 0.077)
F (0.804, 0.320, 0.987)
F (0.845, 0.705, 0.512)
F (0.958, 0.839, 0.706)
F (0.995, 0.557, 0.331)
F (0.997, 0.854, 0.177)

## Properties
ρ: 4.24 g/cm³


TlTcO3F after structural relaxation, computed with PBE.

a b c (Å): 4.299 6.858 7.196
angles (deg): 109.27 101.06 99.35
Fractional coordinates of all 12 atoms:
Tl (0.036, 0.143, 0.281)
Tl (0.964, 0.857, 0.719)
Tc (0.192, 0.416, 0.821)
Tc (0.808, 0.584, 0.179)
O (0.041, 0.705, 0.052)
O (0.107, 0.542, 0.356)
O (0.348, 0.219, 0.678)
O (0.652, 0.781, 0.322)
O (0.893, 0.458, 0.644)
O (0.959, 0.295, 0.948)
F (0.463, 0.691, 0.826)
F (0.537, 0.309, 0.174)

## Properties
ρ: 6.43 g/cm³


TmTcO3F after structural relaxation, computed with PBE.

a b c (Å): 3.855 6.560 6.645
angles (deg): 94.27 102.63 106.07
Fractional coordinates of all 12 atoms:
Tm (0.032, 0.121, 0.267)
Tm (0.968, 0.879, 0.733)
Tc (0.240, 0.403, 0.816)
Tc (0.760, 0.597, 0.184)
O (0.000, 0.166, 0.934)
O (0.000, 0.834, 0.066)
O (0.176, 0.500, 0.216)
O (0.228, 0.181, 0.610)
O (0.772, 0.819, 0.390)
O (0.824, 0.500, 0.784)
F (0.387, 0.735, 0.691)
F (0.613, 0.265, 0.309)

## Properties
ρ: 7.11 g/cm³


TcXeO4F5 after structural relaxation, computed with PBE.

a b c (Å): 8.677 8.677 5.065
angles (deg): 90.00 90.00 128.54
Fractional coordinates of all 22 atoms:
Tc (0.101, 0.899, 0.500)
Tc (0.899, 0.101, 0.000)
Xe (0.376, 0.624, 0.651)
Xe (0.624, 0.376, 0.151)
O (0.121, 0.481, 0.519)
O (0.147, 0.853, 0.799)
O (0.185, 0.815, 0.295)
O (0.481, 0.121, 0.019)
O (0.519, 0.879, 0.519)
O (0.815, 0.185, 0.795)
O (0.853, 0.147, 0.299)
O (0.879, 0.519, 0.019)
F (0.022, 0.978, 0.161)
F (0.170, 0.316, 0.981)
F (0.305, 0.695, 0.987)
F (0.316, 0.170, 0.481)
F (0.461, 0.539, 0.336)
F (0.539, 0.461, 0.836)
F (0.684, 0.830, 0.981)
F (0.695, 0.305, 0.487)
F (0.830, 0.684, 0.481)
F (0.978, 0.022, 0.661)

## Properties
ρ: 4.32 g/cm³


Tm2OF2 after structural relaxation, computed with PBE.

a b c (Å): 7.525 7.525 5.309
angles (deg): 90.00 90.00 90.00
Fractional coordinates of all 20 atoms:
Tm (0.013, 0.250, 0.002)
Tm (0.250, 0.013, 0.502)
Tm (0.250, 0.487, 0.502)
Tm (0.487, 0.250, 0.002)
Tm (0.513, 0.750, 0.998)
Tm (0.750, 0.513, 0.498)
Tm (0.750, 0.987, 0.498)
Tm (0.987, 0.750, 0.998)
O (0.250, 0.250, 0.253)
O (0.250, 0.250, 0.753)
O (0.750, 0.750, 0.247)
O (0.750, 0.750, 0.747)
F (0.001, 0.501, 0.250)
F (0.001, 0.999, 0.250)
F (0.499, 0.501, 0.250)
F (0.499, 0.999, 0.250)
F (0.501, 0.001, 0.750)
F (0.501, 0.499, 0.750)
F (0.999, 0.001, 0.750)
F (0.999, 0.499, 0.750)

## Properties
ρ: 8.66 g/cm³


TmOF after structural relaxation, computed with PBE.

a b c (Å): 6.741 6.346 5.581
angles (deg): 68.48 61.15 50.37
Fractional coordinates of all 12 atoms:
Tm (0.075, 0.675, 0.075)
Tm (0.325, 0.925, 0.325)
Tm (0.675, 0.075, 0.675)
Tm (0.925, 0.325, 0.925)
O (0.009, 0.009, 0.741)
O (0.259, 0.259, 0.991)
O (0.741, 0.741, 0.009)
O (0.991, 0.991, 0.259)
F (0.000, 0.500, 0.500)
F (0.500, 0.000, 0.500)
F (0.500, 0.500, 0.000)
F (0.500, 0.500, 0.500)

## Properties
ρ: 8.44 g/cm³


TmOF after structural relaxation, computed with PBE.

a b c (Å): 5.335 10.611 10.491
angles (deg): 90.00 90.00 90.00
Fractional coordinates of all 48 atoms:
Tm (0.196, 0.019, 0.129)
Tm (0.196, 0.481, 0.629)
Tm (0.220, 0.238, 0.380)
Tm (0.220, 0.262, 0.880)
Tm (0.280, 0.738, 0.380)
Tm (0.280, 0.762, 0.880)
Tm (0.304, 0.519, 0.129)
Tm (0.304, 0.981, 0.629)
Tm (0.696, 0.019, 0.371)
Tm (0.696, 0.481, 0.871)
Tm (0.720, 0.238, 0.120)
Tm (0.720, 0.262, 0.620)
Tm (0.780, 0.738, 0.120)
Tm (0.780, 0.762, 0.620)
Tm (0.804, 0.519, 0.371)
Tm (0.804, 0.981, 0.871)
O (0.031, 0.632, 0.505)
O (0.031, 0.868, 0.005)
O (0.037, 0.633, 0.242)
O (0.037, 0.867, 0.742)
O (0.463, 0.133, 0.242)
O (0.463, 0.367, 0.742)
O (0.469, 0.132, 0.505)
O (0.469, 0.368, 0.005)
O (0.531, 0.632, 0.995)
O (0.531, 0.868, 0.495)
O (0.537, 0.633, 0.258)
O (0.537, 0.867, 0.758)
O (0.963, 0.133, 0.258)
O (0.963, 0.367, 0.758)
O (0.969, 0.132, 0.995)
O (0.969, 0.368, 0.495)
F (0.034, 0.615, 0.990)
F (0.034, 0.885, 0.490)
F (0.051, 0.117, 0.744)
F (0.051, 0.383, 0.244)
F (0.449, 0.617, 0.744)
F (0.449, 0.883, 0.244)
F (0.466, 0.115, 0.990)
F (0.466, 0.385, 0.490)
F (0.534, 0.615, 0.510)
F (0.534, 0.885, 0.010)
F (0.551, 0.117, 0.756)
F (0.551, 0.383, 0.256)
F (0.949, 0.617, 0.756)
F (0.949, 0.883, 0.256)
F (0.966, 0.115, 0.510)
F (0.966, 0.385, 0.010)

## Properties
ρ: 9.12 g/cm³


TmOF after structural relaxation, computed with PBE.

a b c (Å): 5.473 5.377 5.470
angles (deg): 90.00 99.75 90.00
Fractional coordinates of all 12 atoms:
Tm (0.195, 0.026, 0.287)
Tm (0.195, 0.474, 0.787)
Tm (0.805, 0.526, 0.213)
Tm (0.805, 0.974, 0.713)
O (0.039, 0.747, 0.510)
O (0.039, 0.753, 0.010)
O (0.961, 0.247, 0.990)
O (0.961, 0.253, 0.490)
F (0.447, 0.185, 0.647)
F (0.447, 0.315, 0.147)
F (0.553, 0.685, 0.853)
F (0.553, 0.815, 0.353)

## Properties
ρ: 8.54 g/cm³


Number 1: uncorrected energy -6.44 eV per atom. Number 2: uncorrected energy -6.38 eV per atom. Number 3: uncorrected energy -5.65 eV per atom. Number 4: uncorrected energy -6.27 eV per atom. Number 5: uncorrected energy -5.95 eV per atom. Number 6: uncorrected energy -6.17 eV per atom. Number 7: uncorrected energy -7.56 eV per atom. Number 8: uncorrected energy -4.23 eV per atom. Number 9: uncorrected energy -6.78 eV per atom. Number 10: uncorrected energy -7.67 eV per atom. Number 11: uncorrected energy -7.67 eV per atom. Number 12: uncorrected energy -7.72 eV per atom.